[1]
Below is Tm6Tl6Hg after structural relaxation, with properties calculated at the PBE level.

It has space group Cmmm (No. 65), with a = 6.413 Å, b = 11.128 Å, c = 10.285 Å, α = 90.00°, β = 90.00° and γ = 90.00°. The inequivalent atoms are Tm at (0.000, 0.000, 0.182), Tm at (0.000, 0.334, 0.000), Tm at (0.000, 0.334, 0.500), Tl at (0.000, 0.500, 0.250), Tl at (0.250, 0.250, 0.251) and Hg at (0.000, 0.000, 0.500).

As for the formation energy: -0.1454 eV/atom.

***

[2]
Below is Er2Si3Ni4Rh after structural relaxation, with properties calculated at the PBE level.

It has space group P-4m2 (No. 115), with a = 3.885 Å, b = 3.885 Å, c = 9.970 Å, α = 90.00°, β = 90.00° and γ = 90.00°. The inequivalent atoms are Er at (0.000, 0.500, 0.247), Si at (0.000, 0.500, 0.875), Si at (0.500, 0.500, 0.500), Ni at (0.000, 0.000, 0.000), Ni at (0.000, 0.500, 0.648), Ni at (0.500, 0.500, 0.000) and Rh at (0.000, 0.000, 0.500).

As for the uncorrected formation energy: -0.73 eV/atom.

***

[3]
Below is YAl4Co after structural relaxation, with properties calculated at the PBE level.

It has space group F-43m (No. 216), with a = 7.538 Å, b = 7.538 Å, c = 7.538 Å, α = 90.00°, β = 90.00° and γ = 90.00°. The inequivalent atoms are Y at (0.000, 0.000, 0.000), Al at (0.125, 0.125, 0.625) and Co at (0.250, 0.250, 0.250).

As for the formation energy: -0.0282 eV/atom.

***

[4]
Below is TaTe2As after structural relaxation, with properties calculated at the PBE level.

It has space group Imm2 (No. 44), with a = 3.442 Å, b = 4.811 Å, c = 13.621 Å, α = 90.00°, β = 90.00° and γ = 90.00°. The inequivalent atoms are Ta at (0.000, 0.000, 0.000), Te at (0.000, 0.000, 0.452), Te at (0.000, 0.500, 0.661) and As at (0.000, 0.500, 0.346).

As for the uncorrected formation energy: 0.14 eV/atom.

***

[5]
Below is Cu3Pd5Pt2 after structural relaxation, with properties calculated at the PBE level.

It has space group P-1 (No. 2), with a = 6.116 Å, b = 7.260 Å, c = 7.267 Å, α = 69.03°, β = 85.43° and γ = 75.37°. The inequivalent atoms are Cu at (0.075, 0.475, 0.324), Cu at (0.274, 0.077, 0.524), Cu at (0.324, 0.725, 0.076), Pd at (0.026, 0.827, 0.771), Pd at (0.171, 0.771, 0.427), Pd at (0.227, 0.426, 0.975), Pd at (0.429, 0.024, 0.180), Pd at (0.482, 0.674, 0.721), Pt at (0.121, 0.127, 0.875) and Pt at (0.367, 0.374, 0.624).

As for the formation energy: -0.0776 eV/atom. As for the polymorph energy (0 for the lowest one): 0.000 eV/atom.

***

[6]
Below is Sb2RhAu after structural relaxation, with properties calculated at the PBE level.

It has space group P2/m (No. 10), with a = 3.225 Å, b = 3.244 Å, c = 8.196 Å, α = 90.00°, β = 90.18° and γ = 90.00°. The inequivalent atoms are Sb at (0.002, 0.000, 0.207), Rh at (0.500, 0.500, 0.000) and Au at (0.000, 0.500, 0.500).

As for the uncorrected formation energy: -0.10 eV/atom.

***

[7]
Below is Nd2TeRu after structural relaxation, with properties calculated at the PBE level.

It has space group P4/mmm (No. 123), with a = 3.666 Å, b = 3.666 Å, c = 7.700 Å, α = 90.00°, β = 90.00° and γ = 90.00°. The inequivalent atoms are Nd at (0.000, 0.000, 0.223), Te at (0.500, 0.500, 0.500) and Ru at (0.500, 0.500, 0.000).

As for the polymorph energy (0 for the lowest one): 0.000 eV/atom. As for the uncorrected formation energy: -0.64 eV/atom.

***

[8]
Below is Cs5Au2Cl2 after structural relaxation, with properties calculated at the PBE level.

It has space group C2/m (No. 12), with a = 17.817 Å, b = 6.405 Å, c = 10.543 Å, α = 90.00°, β = 126.17° and γ = 90.00°. The inequivalent atoms are Cs at (0.000, 0.000, 0.000), Cs at (0.138, 0.000, 0.778), Cs at (0.139, 0.500, 0.354), Au at (0.109, 0.500, 0.975) and Cl at (0.112, 0.000, 0.423).

As for the uncorrected formation energy: -0.97 eV/atom.

***

[9]
Below is RbGa2SnAu4 after structural relaxation, with properties calculated at the PBE level.

It has space group R-3m (No. 166, hexagonal axes), with a = 4.7472 Å, b = 4.7472 Å, c = 33.5977 Å, α = 90.00°, β = 90.00° and γ = 120.00°. The inequivalent atoms are Rb at (0.0000, 0.0000, 0.0000), Ga at (0.0000, 0.0000, 0.2554), Sn at (0.0000, 0.0000, 0.5000), Au at (0.0000, 0.0000, 0.1790) and Au at (0.0000, 0.0000, 0.4098).

As for the formation energy: -0.1136 eV/atom.

***

[10]
Below is NdTi2H8 after structural relaxation, with properties calculated at the PBE level.

It has space group C2/m (No. 12), with a = 5.752 Å, b = 8.743 Å, c = 3.593 Å, α = 90.00°, β = 95.28° and γ = 90.00°. The inequivalent atoms are Nd at (0.000, 0.000, 0.000), Ti at (0.000, 0.331, 0.500), H at (0.000, 0.264, 0.000), H at (0.096, 0.500, 0.775) and H at (0.174, 0.144, 0.530).

For the final energy, the calculation gives -103.1 eV/cell.

***

Number 1: Fermi-level density of states 6.0 states/eV/f.u.. Number 2: Fermi-level density of states 9.5 states/eV/f.u.. Number 3: Fermi-level density of states 5.4 states/eV/f.u.. Number 4: Fermi-level density of states 1.6 states/eV/f.u.. Number 5: Fermi-level density of states 14.3 states/eV/f.u.. Number 6: Fermi-level density of states 1.9 states/eV/f.u.. Number 7: Fermi-level density of states 1.4 states/eV/f.u.. Number 8: Fermi-level density of states 5.2 states/eV/f.u.. Number 9: Fermi-level density of states 3.5 states/eV/f.u.. Number 10: Fermi-level density of states 3.5 states/eV/f.u..